# CaScAs2Br

An optimized crystal structure of CaScAs2Br (GGA-PBEsol, Alexandria).

```
5
Lattice="5.0330 0.0000 0.0000 0.0000 5.0330 0.0000 0.0000 0.0000 5.2916" Properties=species:S:1:pos:R:3 pbc="T T T"
As 2.5165 0.0000 0.0000
As 0.0000 2.5165 0.0000
Sc 0.0000 0.0000 0.0000
Br 0.0000 0.0000 2.6458
Ca 2.5165 2.5165 2.6458
```

Properties
* volume: 134.04 Å³/cell
* SG: P4/mmm (123)
* density: 3.90 g/cm³
* uncorrected energy: -4.92 eV per atom